1.
Here is an optimized crystal structure of CsNiAsOs2 from Alexandria. Energies are from PBE-GGA.

a = 4.7466 Å, b = 4.7466 Å, c = 4.7969 Å
α = 90.00°, β = 90.00°, γ = 90.00°
Last column: nearest neighbours and their distance in Å.
Fractional positions:
Cs: 0.0000 0.0000 0.0000  4 Ni 3.36, 8 Os 3.37
Ni: 0.5000 0.5000 0.0000  2 As 2.40
As: 0.5000 0.5000 0.5000  4 Os 2.37, 2 Ni 2.40
Os: 0.0000 0.5000 0.5000  2 As 2.37
Os: 0.5000 0.0000 0.5000  2 As 2.37

## Properties
calculated density = 9.94 g/cm3
E_form = 34.60 kcal/mol of atoms

2.
Here is an optimized crystal structure of Tm5In2Pb2 from Alexandria. Energies are from PBE-GGA.

a = 10.4612 Å, b = 10.4612 Å, c = 10.4612 Å
α = 63.68°, β = 128.38°, γ = 145.34°
Last column: nearest neighbours and their distance in Å.
Fractional positions:
Tm: 0.2482 0.5003 0.2480  2 Pb 3.10, 3 In 3.11-3.45
Tm: 0.2495 0.0885 0.3380  2 Tm 3.12, 4 In 3.18-3.37, 2 Pb 3.32
Tm: 0.2495 0.4115 0.6610  2 Tm 3.12, 4 In 3.18-3.37, 2 Pb 3.32
Tm: 0.2523 0.0003 0.7520  2 Pb 3.10, 3 In 3.11-3.45
Tm: 0.6225 0.0934 0.2151  2 In 3.02-3.11, 1 Pb 3.07, 1 Tm 3.31
Tm: 0.6225 0.9074 0.0291  2 In 3.02-3.11, 1 Pb 3.07, 1 Tm 3.31
Tm: 0.7505 0.5885 0.3390  2 Tm 3.12, 4 In 3.18-3.37, 2 Pb 3.32
Tm: 0.7505 0.9115 0.6620  2 Tm 3.12, 4 In 3.18-3.37, 2 Pb 3.32
Tm: 0.8783 0.4074 0.7849  2 In 3.02-3.11, 1 Pb 3.07, 1 Tm 3.31
Tm: 0.8783 0.5934 0.9709  2 In 3.02-3.11, 1 Pb 3.07, 1 Tm 3.31
In: 0.5892 0.5000 0.5893  9 Tm 3.11-3.45
In: 0.7490 0.2490 0.5000  6 Tm 3.02-3.18
In: 0.7490 0.7490 0.0000  6 Tm 3.02-3.18
In: 0.9107 0.0000 0.4107  9 Tm 3.11-3.45
Pb: 0.1791 0.3294 0.0076  4 Tm 3.07-3.32, 1 Pb 3.09
Pb: 0.1791 0.6715 0.3497  4 Tm 3.07-3.32, 1 Pb 3.09
Pb: 0.3218 0.1715 0.9924  4 Tm 3.07-3.32, 1 Pb 3.09
Pb: 0.3218 0.8294 0.6503  4 Tm 3.07-3.32, 1 Pb 3.09

## Properties
calculated density = 9.80 g/cm3
offset from the most stable computed form = 139 meV/atom
E_form = -6.93 kcal/mol of atoms

3.
Here is an optimized crystal structure of RbMgPPd2 from Alexandria. Energies are from PBE-GGA.

a = 5.0035 Å, b = 5.0035 Å, c = 5.7453 Å
α = 90.00°, β = 90.00°, γ = 90.00°
Last column: nearest neighbours and their distance in Å.
Fractional positions:
Rb: 0.0000 0.0000 0.0000  4 Pd 2.50
Mg: 0.0000 0.0000 0.5000  2 Rb 2.87
P: 0.5000 0.5000 0.5000  4 Mg 3.54, 8 Pd 3.81
Pd: 0.0000 0.5000 0.0000  2 Rb 2.50
Pd: 0.5000 0.0000 0.0000  2 Rb 2.50

## Properties
calculated density = 4.08 g/cm3
E_form = 36.43 kcal/mol of atoms

4.
Here is an optimized crystal structure of Eu3Y from Alexandria. Energies are from PBE-GGA.

a = 7.2442 Å, b = 7.2442 Å, c = 7.2442 Å
α = 149.64°, β = 63.92°, γ = 125.23°
Last column: nearest neighbours and their distance in Å.
Fractional positions:
Eu: 0.0000 0.0000 0.0000  8 Eu 3.75-3.82, 4 Y 3.82-3.85
Eu: 0.0841 0.3308 0.7533  9 Eu 3.75-3.84, 3 Y 3.76-3.80
Eu: 0.5775 0.3308 0.2467  9 Eu 3.75-3.84, 3 Y 3.76-3.80
Y: 0.5031 0.0031 0.5000  10 Eu 3.76-3.85, 2 Y 3.79

## Properties
calculated density = 5.82 g/cm3
offset from the most stable computed form = 0 meV/atom
E_form = 1.85 kcal/mol of atoms

5.
Here is an optimized crystal structure of LaNd2Ho8 from Alexandria. Energies are from PBE-GGA.

a = 10.1860 Å, b = 10.1860 Å, c = 5.5492 Å
α = 92.65°, β = 92.65°, γ = 40.42°
Last column: nearest neighbours and their distance in Å.
Fractional positions:
La: 0.0000 0.0000 0.0000  10 Ho 3.53-3.85
Nd: 0.2849 0.2849 0.7507  11 Ho 3.23-3.60
Nd: 0.7151 0.7151 0.2493  11 Ho 3.23-3.60
Ho: 0.1355 0.6003 0.2674  4 Ho 3.27-3.55, 3 Nd 3.47-3.60, 1 La 3.53
Ho: 0.1870 0.1870 0.2346  4 Nd 3.34-3.56, 4 Ho 3.48-3.55
Ho: 0.3997 0.8645 0.7326  4 Ho 3.27-3.55, 3 Nd 3.47-3.60, 1 La 3.53
Ho: 0.4541 0.4541 0.7607  2 Ho 3.11-3.46, 1 Nd 3.23
Ho: 0.5459 0.5459 0.2393  2 Ho 3.11-3.46, 1 Nd 3.23
Ho: 0.6003 0.1355 0.2674  4 Ho 3.27-3.55, 3 Nd 3.47-3.60, 1 La 3.53
Ho: 0.8130 0.8130 0.7654  4 Nd 3.34-3.56, 4 Ho 3.48-3.55
Ho: 0.8645 0.3997 0.7326  4 Ho 3.27-3.55, 3 Nd 3.47-3.60, 1 La 3.53

## Properties
calculated density = 7.78 g/cm3
offset from the most stable computed form = 28 meV/atom
E_form = 3.38 kcal/mol of atoms